# TbGdCo2Si4

TbGdCo2Si4 after structural relaxation (PBE-GGA, OQMD).

The value obtained for the density is 6.946 g/cm3. The spin magnetization comes out at 0.0 μB per formula unit. The uncorrected energy comes out at -102.99 eV for the cell shown.

It has space group Amm2 (No. 38), with a = 3.9778 Å, b = 4.0400 Å, c = 16.2568 Å, α = 90.00°, β = 90.00° and γ = 90.00°. The distinct sites, in fractional coordinates, are Tb at (0.0000, 0.0000, 0.0000), Gd at (0.5000, 0.0000, 0.7844), Co at (0.0000, 0.0000, 0.2124), Co at (0.5000, 0.0000, 0.5716), Si at (0.0000, 0.0000, 0.3493), Si at (0.0000, 0.0000, 0.6421), Si at (0.5000, 0.0000, 0.1415) and Si at (0.5000, 0.0000, 0.4352).